Computed, not measured: crystalline Er6P2PbSe3 at its relaxed geometry at the PBE-GGA level of DFT.

Cell lengths 17.836, 4.042, 8.277 Å; angles 90.00, 103.20, 90.00 degrees
Space group C2/m (No. 12)
Asymmetric unit:
1 Er 0.008 0.000 0.266
2 Er 0.172 0.500 0.108
3 Er 0.173 0.500 0.573
4 P 0.168 0.000 0.338
5 Pb 0.000 0.500 0.000
6 Se 0.000 0.500 0.500
7 Se 0.165 0.000 0.832

Calculated values
For the formation energy from raw total energies, the calculation gives -1.496 eV/atom.

Computed, not measured: crystalline Er4PPb2Se at its relaxed geometry at the PBE-GGA level of DFT.

Cell lengths 6.802, 3.958, 8.074 Å; angles 90.00, 106.82, 90.00 degrees
Space group P2/m (No. 10)
Asymmetric unit:
1 Er 0.228 0.000 0.204
2 Er 0.251 0.500 0.790
3 P 0.000 0.500 0.000
4 Pb 0.000 0.000 0.500
5 Pb 0.500 0.500 0.500
6 Se 0.500 0.000 0.000

Calculated values
For the formation energy from raw total energies, the calculation gives -1.057 eV/atom.

Computed, not measured: crystalline Er6Te3P2Pb at its relaxed geometry at the PBE-GGA level of DFT.

Cell lengths 18.531, 4.159, 8.591 Å; angles 90.00, 104.31, 90.00 degrees
Space group C2/m (No. 12)
Asymmetric unit:
1 Er 0.014 0.000 0.255
2 Er 0.169 0.500 0.120
3 Er 0.177 0.500 0.565
4 Te 0.000 0.500 0.500
5 Te 0.163 0.000 0.833
6 P 0.169 0.000 0.340
7 Pb 0.000 0.500 0.000

Calculated values
For the formation energy from raw total energies, the calculation gives -1.286 eV/atom.

Computed, not measured: crystalline Er4Te2PPb at its relaxed geometry at the PBE-GGA level of DFT.

Cell lengths 7.389, 4.238, 7.441 Å; angles 90.00, 109.06, 90.00 degrees
Space group P2/m (No. 10)
Asymmetric unit:
1 Er 0.226 0.000 0.219
2 Er 0.242 0.500 0.770
3 Te 0.000 0.000 0.500
4 Te 0.500 0.500 0.500
5 P 0.000 0.500 0.000
6 Pb 0.500 0.000 0.000

Calculated values
For the formation energy from raw total energies, the calculation gives -1.168 eV/atom.

Computed, not measured: crystalline ErP2Pd6 at its relaxed geometry at the PBE-GGA level of DFT.

Cell lengths 4.075, 4.075, 8.609 Å; angles 90.00, 90.00, 90.00 degrees
Space group P4/mmm (No. 123)
Asymmetric unit:
1 Er 0.000 0.000 0.000
2 P 0.500 0.500 0.126
3 Pd 0.000 0.000 0.500
4 Pd 0.000 0.500 0.268
5 Pd 0.500 0.500 0.500

Calculated values
The calculated formation energy comes out at -628 meV/atom.

Computed, not measured: crystalline Er2PPd at its relaxed geometry at the PBE-GGA level of DFT.

Cell lengths 3.6887, 3.6887, 25.5977 Å; angles 90.00, 90.00, 120.00 degrees
Space group R-3m (No. 166, hexagonal axes)
Asymmetric unit:
1 Er 0.0000 0.0000 0.1027
2 P 0.0000 0.0000 0.5000
3 Pd 0.0000 0.0000 0.0000

Calculated values
The calculated formation energy comes out at -572 meV/atom.

Computed, not measured: crystalline ErPPd at its relaxed geometry at the PBE-GGA level of DFT.

Cell lengths 6.873, 3.985, 7.737 Å; angles 90.00, 90.00, 90.00 degrees
Space group Pnma (No. 62)
Asymmetric unit:
1 Er 0.031 0.250 0.187
2 P 0.249 0.250 0.876
3 Pd 0.148 0.250 0.561

Calculated values
The calculated formation energy comes out at -1272 meV/atom.

Computed, not measured: crystalline ErP2Pd7 at its relaxed geometry at the PBE-GGA level of DFT.

Cell lengths 4.039, 4.039, 19.870 Å; angles 90.00, 90.00, 90.00 degrees
Space group I4/mmm (No. 139)
Asymmetric unit:
1 Er 0.000 0.000 0.000
2 P 0.000 0.000 0.325
3 Pd 0.000 0.000 0.500
4 Pd 0.000 0.500 0.108
5 Pd 0.000 0.500 0.250

Calculated values
The calculated formation energy comes out at -674 meV/atom.

Computed, not measured: crystalline Er3P6Pd20 at its relaxed geometry at the PBE-GGA level of DFT.

Cell lengths 12.244, 12.244, 12.244 Å; angles 90.00, 90.00, 90.00 degrees
Space group Fm-3m (No. 225)
Asymmetric unit:
1 Er 0.000 0.000 0.000
2 Er 0.250 0.250 0.250
3 P 0.000 0.000 0.264
4 Pd 0.000 0.172 0.172
5 Pd 0.116 0.116 0.384

Calculated values
The calculated formation energy comes out at -725 meV/atom.

Computed, not measured: crystalline ErPPd at its relaxed geometry at the PBE-GGA level of DFT.

Cell lengths 6.821, 3.986, 11.674 Å; angles 90.00, 90.52, 90.00 degrees
Space group P2_1/m (No. 11)
Asymmetric unit:
1 Er 0.033 0.250 0.122
2 Er 0.164 0.250 0.421
3 Er 0.464 0.750 0.792
4 P 0.242 0.750 0.250
5 P 0.249 0.750 0.586
6 P 0.251 0.250 0.917
7 Pd 0.125 0.250 0.706
8 Pd 0.353 0.750 0.042
9 Pd 0.496 0.750 0.408

Calculated values
The calculated formation energy comes out at -1266 meV/atom.

Computed, not measured: crystalline Er3P4Pd7 at its relaxed geometry at the PBE-GGA level of DFT.

Cell lengths 15.300, 3.992, 9.359 Å; angles 90.00, 125.38, 90.00 degrees
Space group C2/m (No. 12)
Asymmetric unit:
1 Er 0.000 0.000 0.000
2 Er 0.180 0.500 0.677
3 P 0.106 0.000 0.821
4 P 0.159 0.500 0.252
5 Pd 0.000 0.000 0.500
6 Pd 0.010 0.500 0.284
7 Pd 0.168 0.000 0.421
8 Pd 0.195 0.500 0.031

Calculated values
The calculated formation energy comes out at -987 meV/atom.